1.
DFT (PBE) results for a relaxed Th2ScPb9 crystal.

E_tot: -4.735 eV/atom
DOS(E_F): 10.35 states/eV/f.u.
Spin magnetization: 0.00 Bohr magnetons per cell

a = 4.907 Å, b = 4.907 Å, c = 14.443 Å
α = 90.00°, β = 90.00°, γ = 90.00°
Space group P4/mmm (No. 123)
Asymmetric unit:
1 Th 0.000 0.000 0.166
2 Sc 0.000 0.000 0.500
3 Pb 0.000 0.500 0.000
4 Pb 0.000 0.500 0.342
5 Pb 0.500 0.500 0.171
6 Pb 0.500 0.500 0.500

***

2.
DFT (PBE) results for a relaxed ThSc2Pb2 crystal.

E_tot: -5.756 eV/atom
DOS(E_F): 5.47 states/eV/f.u.
Spin magnetization: 1.57 Bohr magnetons per cell

a = 4.497 Å, b = 4.497 Å, c = 13.617 Å
α = 90.00°, β = 90.00°, γ = 90.00°
Space group I4/mmm (No. 139)
Asymmetric unit:
1 Th 0.000 0.000 0.000
2 Sc 0.000 0.500 0.250
3 Pb 0.000 0.000 0.392

***

- E_tot of number 2 (ThSc2Pb2)?
  -5.756 eV/atom